# 1
Material: ZrHgW2
Method: DFT, GGA-PBE
State: relaxed

Density of states at the Fermi level   2.5 states/eV/f.u.
E_form   255 meV/atom
E   -33.737 eV per cell

Cell lengths 2.8932, 2.8932, 9.5526 Å; angles 90.00, 90.00, 110.58 degrees
With the nearest neighbours (Å) after each atom.
Sites, in units of the cell vectors:
1 Hg 0.5000 0.5000 0.7587  4 Hg 2.89, 2 W 3.00, 2 Zr 3.10
2 Zr 0.0000 0.0000 0.4838  2 W 2.88, 4 Zr 2.89, 2 Hg 3.10
3 W 0.0000 0.0000 0.0209  6 W 2.64-2.89
4 W 0.5000 0.5000 0.2365  6 W 2.64-2.89, 2 Zr 2.88

---

# 2
Material: Y4HoTl
Method: DFT, GGA-PBE
State: relaxed

Density of states at the Fermi level   7.8 states/eV/f.u.
E_form   -30 meV/atom
E   -65.957 eV per cell
Offset from the most stable computed form   86.9 meV/atom

Cell lengths 6.4626, 9.0686, 8.2723 Å; angles 112.97, 99.74, 113.83 degrees
With the nearest neighbours (Å) after each atom.
Sites, in units of the cell vectors:
1 Y 0.2455 0.2870 0.3796  2 Tl 3.22, 4 Y 3.32-3.60, 1 Ho 3.56
2 Y 0.9561 0.8359 0.2440  4 Y 3.32-3.70, 2 Tl 3.33-3.35, 2 Ho 3.49-3.50
3 Y 0.7545 0.7130 0.6204  2 Tl 3.22, 4 Y 3.32-3.60, 1 Ho 3.56
4 Y 0.6341 0.0927 0.3796  2 Tl 3.22, 4 Y 3.32-3.60, 1 Ho 3.56
5 Y 0.2121 0.5919 0.7560  4 Y 3.32-3.70, 2 Tl 3.33-3.36, 2 Ho 3.49-3.50
6 Y 0.0439 0.1641 0.7560  4 Y 3.32-3.70, 2 Tl 3.33-3.35, 2 Ho 3.49-3.50
7 Y 0.7879 0.4081 0.2440  4 Y 3.32-3.70, 2 Tl 3.33-3.36, 2 Ho 3.49-3.50
8 Y 0.3659 0.9073 0.6204  2 Tl 3.22, 4 Y 3.32-3.60, 1 Ho 3.56
9 Ho 0.6584 0.4084 0.8167  8 Y 3.49-3.62
10 Ho 0.3416 0.5916 0.1833  8 Y 3.49-3.62
11 Tl 0.7501 0.0001 0.0001  8 Y 3.22-3.36, 2 Tl 3.23
12 Tl 0.2499 0.9999 0.9999  8 Y 3.22-3.36, 2 Tl 3.23

---

# 3
Material: TaMn6V5
Method: DFT, GGA-PBE
State: relaxed

Density of states at the Fermi level   3.9 states/eV/f.u.
E_form   -245 meV/atom
E   -115.409 eV per cell

Cell lengths 4.1146, 5.8225, 6.5032 Å; angles 90.00, 71.56, 90.00 degrees
With the nearest neighbours (Å) after each atom.
Sites, in units of the cell vectors:
1 V 0.3307 0.0000 0.3386  8 Mn 2.48-2.57
2 V 0.0000 0.5000 0.0000  8 Mn 2.49-2.54
3 V 0.3326 0.5000 0.3348  8 Mn 2.47-2.51
4 V 0.6693 0.0000 0.6614  8 Mn 2.48-2.57
5 V 0.6674 0.5000 0.6652  8 Mn 2.47-2.51
6 Mn 0.5000 0.7423 0.0000  6 V 2.49-2.57, 2 Ta 2.55
7 Mn 0.8304 0.2540 0.3393  7 V 2.47-2.54, 1 Ta 2.56
8 Mn 0.1696 0.7460 0.6607  7 V 2.47-2.54, 1 Ta 2.56
9 Mn 0.5000 0.2577 0.0000  6 V 2.49-2.57, 2 Ta 2.55
10 Mn 0.1696 0.2540 0.6607  7 V 2.47-2.54, 1 Ta 2.56
11 Mn 0.8304 0.7460 0.3393  7 V 2.47-2.54, 1 Ta 2.56
12 Ta 0.0000 0.0000 0.0000  8 Mn 2.55-2.56

---

| no. | V (A^3/atom) | total magnetic moment (μB/f.u.) | density (Mg/m³) |
| --- | --- | --- | --- |
| 1 | 18.71 | 0.0 | 14.63 |
| 2 | 31.36 | 0.0 | 6.40 |
| 3 | 12.32 | 0.0 | 8.60 |